# Ac6Pr5Sm2

A relaxed Ac6Pr5Sm2 crystal (PBE, the Alexandria database).

abc: 11.509 24.125 3.791
angles: 90.00 90.00 90.00
Fractional positions:
1 Ac 0.020 0.112 0.000
2 Ac 0.145 0.385 0.000
3 Ac 0.166 0.634 0.500
4 Ac 0.334 0.134 0.500
5 Ac 0.355 0.885 0.000
6 Ac 0.480 0.612 0.000
7 Ac 0.520 0.388 0.000
8 Ac 0.645 0.115 0.000
9 Ac 0.666 0.866 0.500
10 Ac 0.834 0.366 0.500
11 Ac 0.855 0.615 0.000
12 Ac 0.980 0.888 0.000
13 Pr 0.000 0.500 0.500
14 Pr 0.085 0.249 0.500
15 Pr 0.166 0.996 0.500
16 Pr 0.334 0.496 0.500
17 Pr 0.415 0.749 0.500
18 Pr 0.500 0.000 0.500
19 Pr 0.585 0.251 0.500
20 Pr 0.666 0.504 0.500
21 Pr 0.834 0.004 0.500
22 Pr 0.915 0.751 0.500
23 Sm 0.165 0.768 0.000
24 Sm 0.335 0.268 0.000
25 Sm 0.665 0.732 0.000
26 Sm 0.835 0.232 0.000

Values from the calculation:
Energy of formation from the pure elements = 0.13 eV per atom
Total DFT energy (no corrections) = -4.329 eV/atom